A.
Computed, not measured: a relaxed structure of PPtSe2N at the PBE-GGA level of DFT.

Cell and atoms, written as CIF:
```
data_PPtSe2N
_space_group_name_H-M_alt 'P 4/m m m'
_space_group_IT_number 123
_space_group_name_Hall '-P 4 2'
_cell_length_a 5.1561
_cell_length_b 5.1561
_cell_length_c 3.6737
_cell_angle_alpha 90.00
_cell_angle_beta 90.00
_cell_angle_gamma 90.00
loop_
_atom_site_label
_atom_site_type_symbol
_atom_site_fract_x
_atom_site_fract_y
_atom_site_fract_z
P1 P 0.0000 0.0000 0.0000
Pt1 Pt 0.5000 0.5000 0.5000
Se1 Se 0.0000 0.5000 0.5000
N1 N 0.5000 0.5000 0.0000
```

Crystal system: tetragonal

=====

B.
Computed, not measured: a relaxed structure of PPtSe2N at the PBE-GGA level of DFT.

Cell and atoms, written as CIF:
```
data_PPtSe2N
_space_group_name_H-M_alt 'P 4/m m m'
_space_group_IT_number 123
_space_group_name_Hall '-P 4 2'
_cell_length_a 4.9931
_cell_length_b 4.9931
_cell_length_c 3.1666
_cell_angle_alpha 90.00
_cell_angle_beta 90.00
_cell_angle_gamma 90.00
loop_
_atom_site_label
_atom_site_type_symbol
_atom_site_fract_x
_atom_site_fract_y
_atom_site_fract_z
P1 P 0.0000 0.0000 0.0000
Pt1 Pt 0.5000 0.5000 0.5000
Se1 Se 0.0000 0.5000 0.0000
N1 N 0.0000 0.0000 0.5000
```

Crystal system: tetragonal

=====

Quick one: most stable of them? B

=====

A.
Computed, not measured: a relaxed structure of Pu2PN at the PBE-GGA level of DFT.

Cell and atoms, written as CIF:
```
data_Pu2PN
_space_group_name_H-M_alt 'R -3 m'
_space_group_IT_number 166
_space_group_name_Hall '-R 3 2"'
_cell_length_a 3.7001
_cell_length_b 3.7001
_cell_length_c 18.6306
_cell_angle_alpha 90.00
_cell_angle_beta 90.00
_cell_angle_gamma 120.00
loop_
_atom_site_label
_atom_site_type_symbol
_atom_site_fract_x
_atom_site_fract_y
_atom_site_fract_z
Pu1 Pu 0.0000 0.0000 0.2376
P1 P 0.0000 0.0000 0.0000
N1 N 0.0000 0.0000 0.5000
```

Crystal system: trigonal

=====

B.
Computed, not measured: a relaxed structure of Pu2PN at the PBE-GGA level of DFT.

Cell and atoms, written as CIF:
```
data_Pu2PN
_space_group_name_H-M_alt 'C 1 2/m 1'
_space_group_IT_number 12
_cell_length_a 6.1102
_cell_length_b 6.1054
_cell_length_c 8.4963
_cell_angle_alpha 90.00
_cell_angle_beta 93.65
_cell_angle_gamma 90.00
loop_
_space_group_symop_operation_xyz
'x,y,z'
'-x,-y,-z'
'-x,y,-z'
'x,-y,z'
'x+1/2,y+1/2,z'
'-x+1/2,-y+1/2,-z'
'-x+1/2,y+1/2,-z'
'x+1/2,-y+1/2,z'
loop_
_atom_site_label
_atom_site_type_symbol
_atom_site_fract_x
_atom_site_fract_y
_atom_site_fract_z
Pu1 Pu 0.0000 0.2274 0.0000
Pu2 Pu 0.2409 0.5000 0.3557
P1 P 0.2236 0.0000 0.2999
N1 N 0.2118 0.5000 0.0983
```

Crystal system: monoclinic

=====

C.
Computed, not measured: a relaxed structure of Pu2PN at the PBE-GGA level of DFT.

Cell and atoms, written as CIF:
```
data_Pu2PN
_space_group_name_H-M_alt 'C m c m'
_space_group_IT_number 63
_space_group_name_Hall '-C 2c 2'
_cell_length_a 3.5451
_cell_length_b 12.9242
_cell_length_c 6.1490
_cell_angle_alpha 90.00
_cell_angle_beta 90.00
_cell_angle_gamma 90.00
loop_
_atom_site_label
_atom_site_type_symbol
_atom_site_fract_x
_atom_site_fract_y
_atom_site_fract_z
Pu1 Pu 0.0000 0.1370 0.0169
P1 P 0.0000 0.4858 0.2500
N1 N 0.0000 0.2626 0.7500
```

Crystal system: orthorhombic

=====

Quick one: most stable of them? A

=====

A.
Computed, not measured: a relaxed structure of RbP3N at the PBE-GGA level of DFT.

Cell and atoms, written as CIF:
```
data_RbP3N
_space_group_name_H-M_alt 'P m -3 m'
_space_group_IT_number 221
_space_group_name_Hall '-P 4 2 3'
_cell_length_a 4.4514
_cell_length_b 4.4514
_cell_length_c 4.4514
_cell_angle_alpha 90.00
_cell_angle_beta 90.00
_cell_angle_gamma 90.00
loop_
_atom_site_label
_atom_site_type_symbol
_atom_site_fract_x
_atom_site_fract_y
_atom_site_fract_z
Rb1 Rb 0.0000 0.0000 0.0000
P1 P 0.0000 0.5000 0.5000
N1 N 0.5000 0.5000 0.5000
```

Crystal system: cubic

=====

B.
Computed, not measured: a relaxed structure of RbP3N at the PBE-GGA level of DFT.

Cell and atoms, written as CIF:
```
data_RbP3N
_space_group_name_H-M_alt 'P m -3 m'
_space_group_IT_number 221
_space_group_name_Hall '-P 4 2 3'
_cell_length_a 7.0813
_cell_length_b 7.0813
_cell_length_c 7.0813
_cell_angle_alpha 90.00
_cell_angle_beta 90.00
_cell_angle_gamma 90.00
loop_
_atom_site_label
_atom_site_type_symbol
_atom_site_fract_x
_atom_site_fract_y
_atom_site_fract_z
Rb1 Rb 0.0000 0.0000 0.0000
P1 P 0.0000 0.0000 0.5000
N1 N 0.5000 0.5000 0.5000
```

Crystal system: cubic

=====

Quick one: most stable of them? A

=====

A.
Computed, not measured: a relaxed structure of RbPSN2 at the PBE-GGA level of DFT.

Cell and atoms, written as CIF:
```
data_RbPSN2
_space_group_name_H-M_alt 'P 4/m m m'
_space_group_IT_number 123
_space_group_name_Hall '-P 4 2'
_cell_length_a 5.2777
_cell_length_b 5.2777
_cell_length_c 6.7468
_cell_angle_alpha 90.00
_cell_angle_beta 90.00
_cell_angle_gamma 90.00
loop_
_atom_site_label
_atom_site_type_symbol
_atom_site_fract_x
_atom_site_fract_y
_atom_site_fract_z
Rb1 Rb 0.0000 0.0000 0.0000
P1 P 0.5000 0.5000 0.5000
S1 S 0.0000 0.0000 0.5000
N1 N 0.0000 0.5000 0.0000
```

Crystal system: tetragonal

=====

B.
Computed, not measured: a relaxed structure of RbPSN2 at the PBE-GGA level of DFT.

Cell and atoms, written as CIF:
```
data_RbPSN2
_space_group_name_H-M_alt 'P 4/m m m'
_space_group_IT_number 123
_space_group_name_Hall '-P 4 2'
_cell_length_a 3.9384
_cell_length_b 3.9384
_cell_length_c 4.7518
_cell_angle_alpha 90.00
_cell_angle_beta 90.00
_cell_angle_gamma 90.00
loop_
_atom_site_label
_atom_site_type_symbol
_atom_site_fract_x
_atom_site_fract_y
_atom_site_fract_z
Rb1 Rb 0.0000 0.0000 0.0000
P1 P 0.5000 0.5000 0.5000
S1 S 0.5000 0.5000 0.0000
N1 N 0.0000 0.5000 0.5000
```

Crystal system: tetragonal

=====

Quick one: most stable of them? B

=====

A.
Computed, not measured: a relaxed structure of RbP2SN at the PBE-GGA level of DFT.

Cell and atoms, written as CIF:
```
data_RbP2SN
_space_group_name_H-M_alt 'P 4/m m m'
_space_group_IT_number 123
_space_group_name_Hall '-P 4 2'
_cell_length_a 4.2202
_cell_length_b 4.2202
_cell_length_c 5.3548
_cell_angle_alpha 90.00
_cell_angle_beta 90.00
_cell_angle_gamma 90.00
loop_
_atom_site_label
_atom_site_type_symbol
_atom_site_fract_x
_atom_site_fract_y
_atom_site_fract_z
Rb1 Rb 0.0000 0.0000 0.0000
P1 P 0.0000 0.5000 0.5000
S1 S 0.5000 0.5000 0.0000
N1 N 0.5000 0.5000 0.5000
```

Crystal system: tetragonal

=====

B.
Computed, not measured: a relaxed structure of RbP2SN at the PBE-GGA level of DFT.

Cell and atoms, written as CIF:
```
data_RbP2SN
_space_group_name_H-M_alt 'P 4/m m m'
_space_group_IT_number 123
_space_group_name_Hall '-P 4 2'
_cell_length_a 7.4438
_cell_length_b 7.4438
_cell_length_c 6.3878
_cell_angle_alpha 90.00
_cell_angle_beta 90.00
_cell_angle_gamma 90.00
loop_
_atom_site_label
_atom_site_type_symbol
_atom_site_fract_x
_atom_site_fract_y
_atom_site_fract_z
Rb1 Rb 0.0000 0.0000 0.0000
P1 P 0.0000 0.5000 0.0000
S1 S 0.0000 0.0000 0.5000
N1 N 0.5000 0.5000 0.5000
```

Crystal system: tetragonal

=====

Quick one: most stable of them? A

=====

A.
Computed, not measured: a relaxed structure of RbPS2N at the PBE-GGA level of DFT.

Cell and atoms, written as CIF:
```
data_RbPS2N
_space_group_name_H-M_alt 'P 4/m m m'
_space_group_IT_number 123
_space_group_name_Hall '-P 4 2'
_cell_length_a 5.3706
_cell_length_b 5.3706
_cell_length_c 3.5209
_cell_angle_alpha 90.00
_cell_angle_beta 90.00
_cell_angle_gamma 90.00
loop_
_atom_site_label
_atom_site_type_symbol
_atom_site_fract_x
_atom_site_fract_y
_atom_site_fract_z
Rb1 Rb 0.0000 0.0000 0.0000
P1 P 0.5000 0.5000 0.0000
S1 S 0.0000 0.5000 0.5000
N1 N 0.5000 0.5000 0.5000
```

Crystal system: tetragonal

=====

B.
Computed, not measured: a relaxed structure of RbPS2N at the PBE-GGA level of DFT.

Cell and atoms, written as CIF:
```
data_RbPS2N
_space_group_name_H-M_alt 'P 4/m m m'
_space_group_IT_number 123
_space_group_name_Hall '-P 4 2'
_cell_length_a 6.7372
_cell_length_b 6.7372
_cell_length_c 7.6766
_cell_angle_alpha 90.00
_cell_angle_beta 90.00
_cell_angle_gamma 90.00
loop_
_atom_site_label
_atom_site_type_symbol
_atom_site_fract_x
_atom_site_fract_y
_atom_site_fract_z
Rb1 Rb 0.0000 0.0000 0.0000
P1 P 0.0000 0.0000 0.5000
S1 S 0.0000 0.5000 0.0000
N1 N 0.5000 0.5000 0.5000
```

Crystal system: tetragonal

=====

C.
Computed, not measured: a relaxed structure of RbPS2N at the PBE-GGA level of DFT.

Cell and atoms, written as CIF:
```
data_RbPS2N
_space_group_name_H-M_alt 'P 4/m m m'
_space_group_IT_number 123
_space_group_name_Hall '-P 4 2'
_cell_length_a 5.4388
_cell_length_b 5.4388
_cell_length_c 3.2196
_cell_angle_alpha 90.00
_cell_angle_beta 90.00
_cell_angle_gamma 90.00
loop_
_atom_site_label
_atom_site_type_symbol
_atom_site_fract_x
_atom_site_fract_y
_atom_site_fract_z
Rb1 Rb 0.0000 0.0000 0.0000
P1 P 0.5000 0.5000 0.5000
S1 S 0.0000 0.5000 0.5000
N1 N 0.5000 0.5000 0.0000
```

Crystal system: tetragonal

=====

Quick one: most stable of them? C